Entry from Alexandria: a relaxed structure of TmIBr (PBE-GGA).

The space group is No. 2. The size of the total moment comes out at 0.0 μB per formula unit. For the raw total energy, the calculation gives -23.34 eV for the cell shown. Its energy above the most stable polymorph in this dataset is 0 meV per atom. The formation energy without anion corrections comes out at -1.32 eV per atom.

a = 3.9545 Å, b = 6.8481 Å, c = 9.0023 Å
α = 65.10°, β = 78.20°, γ = 90.01°
Fractional positions:
Br1 0.6547 0.9677 0.7043
I1 0.8713 0.5603 0.2390
Tm1 0.7490 0.7309 0.5026
Tm2 0.2510 0.2691 0.4974
I2 0.1287 0.4397 0.7610
Br2 0.3453 0.0323 0.2957